A plane-wave DFT calculation with PBE was carried out for a relaxed Tm4Tl5H2 crystal.

a = 3.4315 Å, b = 8.4900 Å, c = 9.9748 Å
α = 115.19°, β = 99.90°, γ = 90.00°
Element x y z (fractional)
Tl 0.8321 0.0114 0.6641
Tl 0.1679 0.9886 0.3359
Tl 0.5000 0.0000 0.0000
Tl 0.1679 0.3473 0.3359
Tl 0.8321 0.6527 0.6641
Tm 0.0000 0.3197 0.0000
Tm 0.6693 0.6693 0.3387
Tm 0.3307 0.3307 0.6613
Tm 0.0000 0.6803 0.0000
H 0.4491 0.4491 0.8981
H 0.5509 0.5509 0.1019

DOS at the Fermi energy = 0.63 states/eV/atom
Electronic total energy = -3.473 eV per atom

=====

A plane-wave DFT calculation with PBE was carried out for a relaxed TmTlH crystal.

a = 5.2721 Å, b = 3.5697 Å, c = 3.5697 Å
α = 120.00°, β = 90.00°, γ = 90.00°
Element x y z (fractional)
Tm 0.1664 0.6667 0.3333
Tl 0.6664 0.3333 0.6667
H 0.1672 0.0000 0.0000

DOS at the Fermi energy = 0.22 states/eV/atom
Energy above the most stable polymorph in this dataset = 0.000 eV per atom

=====

A plane-wave DFT calculation with PBE was carried out for a relaxed Tm12Tl6H crystal.

a = 8.0952 Å, b = 8.0952 Å, c = 8.0952 Å
α = 94.29°, β = 94.29°, γ = 94.29°
Element x y z (fractional)
Tm 0.2005 0.4230 0.5314
Tm 0.0816 0.3005 0.9686
Tm 0.9184 0.6995 0.0314
Tm 0.4230 0.5314 0.2005
Tm 0.9686 0.0816 0.3005
Tm 0.5314 0.2005 0.4230
Tm 0.4686 0.7995 0.5770
Tm 0.7995 0.5770 0.4686
Tm 0.6995 0.0314 0.9184
Tm 0.5770 0.4686 0.7995
Tm 0.3005 0.9686 0.0816
Tm 0.0314 0.9184 0.6995
Tl 0.8573 0.2481 0.6433
Tl 0.1427 0.7519 0.3567
Tl 0.3567 0.1427 0.7519
Tl 0.2481 0.6433 0.8573
Tl 0.6433 0.8573 0.2481
Tl 0.7519 0.3567 0.1427
H 0.0000 0.0000 0.0000

DOS at the Fermi energy = 0.78 states/eV/atom
Electronic total energy = -3.888 eV per atom

=====

A plane-wave DFT calculation with PBE was carried out for a relaxed Tm4Tl2H crystal.

a = 6.0581 Å, b = 6.6470 Å, c = 9.1891 Å
α = 90.00°, β = 112.29°, γ = 90.00°
Element x y z (fractional)
Tm 0.4682 0.9994 0.7318
Tm 0.9072 0.2500 0.6273
Tm 0.5318 0.4994 0.2682
Tm 0.0928 0.7500 0.3727
Tm 0.5318 0.0006 0.2682
Tm 0.1102 0.7500 0.9304
Tm 0.8898 0.2500 0.0696
Tm 0.4682 0.5006 0.7318
Tl 0.2126 0.2500 0.4200
Tl 0.7874 0.7500 0.5800
Tl 0.3032 0.2500 0.9584
Tl 0.6968 0.7500 0.0416
H 0.2750 0.7500 0.2010
H 0.7250 0.2500 0.7990

DOS at the Fermi energy = 0.60 states/eV/atom
Electronic total energy = -4.041 eV per atom

=====

Look up the DOS at the Fermi energy of the fourth one. 0.60 states/eV/atom

=====

DOS at the Fermi energy of number 3 (Tm12Tl6H)? 0.78 states/eV/atom

=====

DOS at the Fermi energy of number 4 (Tm4Tl2H)? 0.60 states/eV/atom

=====

Among the records above, which one has the highest DOS at the Fermi energy? Tm12Tl6H